# RbCeTm4Se8

A geometry-optimized RbCeTm4Se8 structure (PBE, Alexandria).

As for the raw formation energy: -1.675 eV per atom. Its crystal system is trigonal. The density is 5.626 g/cm³.

abc: 8.511 8.511 8.728
angles: 60.82 60.82 60.00
Each line ends with the local moment (μB).
Fractional positions:
1 Se 0.751 0.232 0.265  0.00
2 Se 0.232 0.751 0.265  0.00
3 Ce 0.005 0.005 0.985  0.97
4 Se 0.240 0.240 0.718  -0.01
5 Se 0.802 0.240 0.718  -0.01
6 Tm 0.005 0.005 0.504  0.00
7 Tm 0.487 0.005 0.504  0.00
8 Se 0.240 0.802 0.718  -0.01
9 Tm 0.005 0.487 0.504  0.00
10 Tm 0.626 0.626 0.122  0.00
11 Rb 0.369 0.369 0.893  0.00
12 Se 0.751 0.751 0.265  0.00
13 Se 0.757 0.757 0.729  0.00
14 Se 0.230 0.230 0.309  0.00



# BeNi2Sb

A geometry-optimized BeNi2Sb structure (PBE, Alexandria).

As for the raw formation energy: 0.057 eV per atom. Its crystal system is monoclinic. For the polymorph energy (0 for the lowest one), the calculation gives 0.60 eV/f.u. The density is 7.778 g/cm³.

abc: 3.508 2.943 5.429
angles: 70.98 90.00 90.00
Fractional positions:
1 Ni 0.000 0.586 0.542
2 Be 0.500 0.750 0.750
3 Ni 0.000 0.914 0.958
4 Sb 0.500 0.250 0.250